## AgPdN (GGA-PBE)

Data for a geometry-optimized AgPdN structure.

Polymorph energy (0 for the lowest one)   380 meV per atom

Cell lengths 2.975, 2.975, 5.672 Å; angles 90.00, 90.00, 120.00 degrees
Atoms (fractional coordinates):
Ag 0.333 0.667 0.652
Pd 0.000 0.000 0.073
N 0.333 0.667 0.261

***

## Cd2Ni2Cl (GGA-PBE)

Data for a geometry-optimized Cd2Ni2Cl structure.

Polymorph energy (0 for the lowest one)   0 meV per atom

Cell lengths 7.379, 7.379, 3.181 Å; angles 90.00, 90.00, 90.00 degrees
Atoms (fractional coordinates):
Ni 0.381 0.881 0.000
Ni 0.881 0.619 0.000
Ni 0.619 0.119 0.000
Ni 0.119 0.381 0.000
Cl 0.000 0.000 0.000
Cl 0.500 0.500 0.000
Cd 0.174 0.674 0.500
Cd 0.674 0.826 0.500
Cd 0.826 0.326 0.500
Cd 0.326 0.174 0.500

***

## Hf8TcSb2 (GGA-PBE)

Data for a geometry-optimized Hf8TcSb2 structure.

Final energy   -9.15 eV per atom

Cell lengths 4.359, 7.229, 8.371 Å; angles 109.91, 105.09, 90.00 degrees
Atoms (fractional coordinates):
Hf 0.419 0.561 0.838
Hf 0.668 0.929 0.336
Hf 0.830 0.749 0.659
Hf 0.968 0.192 0.936
Hf 0.170 0.251 0.341
Hf 0.332 0.071 0.664
Hf 0.581 0.439 0.162
Hf 0.032 0.808 0.064
Tc 0.500 0.000 0.000
Sb 0.807 0.327 0.615
Sb 0.193 0.673 0.385

***

## GdThCdRh (GGA-PBE)

Data for a geometry-optimized GdThCdRh structure.

ΔH_f (0 K)   -8.8 kcal/mol of atoms

Cell lengths 5.181, 5.181, 5.181 Å; angles 60.00, 60.00, 60.00 degrees
Each line ends with the local moment (μB).
Atoms (fractional coordinates):
Gd 0.500 0.500 0.500  7.05
Rh 0.250 0.250 0.250  -0.03
Th 0.000 0.000 0.000  0.06
Cd 0.750 0.750 0.750  0.00

***

## BeSb2Br (GGA-PBE)

Data for a geometry-optimized BeSb2Br structure.

Polymorph energy (0 for the lowest one)   744 meV per atom

Cell lengths 6.416, 4.095, 4.095 Å; angles 90.00, 90.00, 90.00 degrees
Atoms (fractional coordinates):
Sb 0.000 0.000 0.000
Sb 0.000 0.500 0.500
Br 0.500 0.000 0.500
Be 0.500 0.500 0.000

***

## Pm5Se4S (GGA-PBE)

Data for a geometry-optimized Pm5Se4S structure.

Final energy   -6.05 eV per atom

Cell lengths 4.157, 4.157, 15.092 Å; angles 97.92, 97.92, 90.00 degrees
Atoms (fractional coordinates):
Pm 0.094 0.094 0.189
Pm 0.500 0.500 0.000
Pm 0.906 0.906 0.811
Pm 0.296 0.296 0.593
Pm 0.704 0.704 0.407
Se 0.399 0.399 0.798
Se 0.804 0.804 0.607
Se 0.196 0.196 0.393
Se 0.601 0.601 0.202
S 0.000 0.000 0.000

***

## TaTeIr (GGA-PBE)

Data for a geometry-optimized TaTeIr structure.

Polymorph energy (0 for the lowest one)   166 meV per atom

Cell lengths 3.111, 3.111, 6.801 Å; angles 90.00, 90.00, 120.00 degrees
Atoms (fractional coordinates):
Ir 0.000 0.000 0.022
Ta 0.667 0.333 0.317
Te 0.333 0.667 0.661

***

## SrAl2Ni (GGA-PBE)

Data for a geometry-optimized SrAl2Ni structure.

ΔH_f (0 K)   -8.3 kcal/mol of atoms

Cell lengths 4.273, 4.273, 6.183 Å; angles 69.72, 69.72, 60.02 degrees
Atoms (fractional coordinates):
Sr 0.247 0.247 0.259
Al 0.054 0.054 0.839
Al 0.773 0.773 0.681
Ni 0.426 0.426 0.721

***

## Rb3Ga5Ge2 (GGA-PBE)

Data for a geometry-optimized Rb3Ga5Ge2 structure.

ΔH_f (0 K)   -0.6 kcal/mol of atoms

Cell lengths 7.159, 9.726, 9.726 Å; angles 63.91, 68.41, 68.41 degrees
Atoms (fractional coordinates):
Rb 0.250 0.000 0.000
Rb 0.750 0.000 0.000
Rb 0.378 0.374 0.870
Rb 0.622 0.626 0.130
Rb 0.878 0.870 0.374
Rb 0.122 0.130 0.626
Ga 0.250 0.500 0.500
Ga 0.750 0.500 0.500
Ga 0.512 0.738 0.738
Ga 0.988 0.262 0.262
Ga 0.488 0.262 0.262
Ga 0.012 0.738 0.738
Ga 0.125 0.505 0.245
Ga 0.875 0.495 0.755
Ga 0.625 0.245 0.505
Ga 0.375 0.755 0.495
Ge 0.171 0.701 0.956
Ge 0.829 0.299 0.044
Ge 0.671 0.956 0.701
Ge 0.329 0.044 0.299

***

## RbPuPb2Cl8 (GGA-PBE)

Data for a geometry-optimized RbPuPb2Cl8 structure.

Final energy   -4.66 eV per atom

Cell lengths 6.857, 6.736, 9.039 Å; angles 89.99, 90.00, 89.10 degrees
Each line ends with the local moment (μB).
Atoms (fractional coordinates):
Rb 0.000 0.000 0.500  0.00
Pu 0.000 0.000 0.000  5.01
Pb 0.500 0.500 0.749  0.00
Pb 0.500 0.500 0.251  0.00
Cl 0.159 0.762 0.213  -0.02
Cl 0.684 0.750 0.000  -0.02
Cl 0.840 0.238 0.213  -0.02
Cl 0.841 0.238 0.787  -0.02
Cl 0.316 0.250 0.000  -0.02
Cl 0.160 0.762 0.787  -0.02
Cl 0.625 0.723 0.500  0.00
Cl 0.375 0.277 0.500  0.00

***

## RbSr2Ti (GGA-PBE)

Data for a geometry-optimized RbSr2Ti structure.

ΔH_f (0 K)   22.4 kcal/mol of atoms
Polymorph energy (0 for the lowest one)   245 meV per atom

Cell lengths 5.551, 5.551, 13.521 Å; angles 78.15, 78.15, 90.00 degrees
Each line ends with the local moment (μB).
Atoms (fractional coordinates):
Sr 0.604 0.125 0.250  0.06
Sr 0.146 0.625 0.250  0.06
Sr 0.375 0.396 0.750  0.05
Sr 0.875 0.854 0.750  0.05
Rb 0.000 0.000 0.000  0.04
Rb 0.750 0.250 0.500  0.04
Ti 0.500 0.500 0.000  2.05
Ti 0.250 0.750 0.500  2.06

***

## TaAlPb2 (GGA-PBE)

Data for a geometry-optimized TaAlPb2 structure.

ΔH_f (0 K)   13.2 kcal/mol of atoms

Cell lengths 4.706, 3.220, 6.496 Å; angles 69.05, 90.00, 90.00 degrees
Atoms (fractional coordinates):
Pb 0.000 0.005 0.002
Pb 0.000 0.495 0.498
Al 0.500 0.750 0.750
Ta 0.500 0.250 0.250

***

## RbCePuCl6 (GGA-PBE)

Data for a geometry-optimized RbCePuCl6 structure.

Final energy   -5.64 eV per atom

Cell lengths 7.359, 7.359, 14.274 Å; angles 90.00, 90.00, 120.00 degrees
Each line ends with the local moment (μB).
Atoms (fractional coordinates):
Rb 0.000 0.000 0.000  0.00
Rb 0.000 0.000 0.500  0.00
Ce 0.667 0.333 0.250  -1.20
Ce 0.333 0.667 0.750  -1.20
Pu 0.333 0.667 0.250  -5.58
Pu 0.667 0.333 0.750  -5.58
Cl 0.630 0.629 0.140  0.02
Cl 0.999 0.370 0.140  0.02
Cl 0.370 0.999 0.640  0.02
Cl 0.001 0.630 0.860  0.02
Cl 0.371 0.370 0.360  0.02
Cl 0.999 0.629 0.360  0.02
Cl 0.629 0.999 0.860  0.02
Cl 0.630 0.001 0.360  0.02
Cl 0.001 0.371 0.640  0.02
Cl 0.371 0.001 0.140  0.02
Cl 0.629 0.630 0.640  0.02
Cl 0.370 0.371 0.860  0.02

***

## Sr2TlTeRh (GGA-PBE)

Data for a geometry-optimized Sr2TlTeRh structure.

Final energy   -3.89 eV per atom

Cell lengths 5.715, 5.715, 5.189 Å; angles 90.00, 90.00, 90.00 degrees
Atoms (fractional coordinates):
Sr 0.000 0.500 0.000
Sr 0.500 0.000 0.000
Tl 0.000 0.000 0.500
Te 0.500 0.500 0.500
Rh 0.000 0.000 0.000

***

## TbPm3Ho2S6 (GGA-PBE)

Data for a geometry-optimized TbPm3Ho2S6 structure.

Final energy   -6.42 eV per atom

Cell lengths 6.846, 6.846, 6.915 Å; angles 99.47, 99.47, 120.18 degrees
Atoms (fractional coordinates):
Tb 0.000 0.000 0.000
Pm 0.166 0.834 0.500
Pm 0.834 0.166 0.500
Pm 0.500 0.500 0.500
Ho 0.333 0.667 0.000
Ho 0.667 0.333 0.000
S 0.921 0.585 0.763
S 0.743 0.743 0.237
S 0.079 0.415 0.237
S 0.585 0.921 0.763
S 0.257 0.257 0.763
S 0.415 0.079 0.237

***

## UCu2HgO8 (GGA-PBE)

Data for a geometry-optimized UCu2HgO8 structure.

Final energy   -5.88 eV per atom

Cell lengths 5.901, 5.901, 5.901 Å; angles 110.43, 110.43, 107.57 degrees
Atoms (fractional coordinates):
U 0.000 0.000 0.000
Cu 0.750 0.250 0.500
Cu 0.500 0.500 0.000
Hg 0.250 0.750 0.500
O 0.361 0.064 0.297
O 0.295 0.465 0.170
O 0.295 0.125 0.830
O 0.767 0.064 0.703
O 0.875 0.705 0.170
O 0.936 0.233 0.297
O 0.936 0.639 0.703
O 0.535 0.705 0.830

***

## PmSm2Hg8 (GGA-PBE)

Data for a geometry-optimized PmSm2Hg8 structure.

ΔH_f (0 K)   -8.0 kcal/mol of atoms
Polymorph energy (0 for the lowest one)   0 meV per atom

Cell lengths 5.043, 7.314, 8.463 Å; angles 109.11, 107.34, 90.00 degrees
Atoms (fractional coordinates):
Pm 0.500 0.000 0.000
Sm 0.789 0.347 0.579
Sm 0.211 0.653 0.421
Hg 0.405 0.543 0.810
Hg 0.672 0.900 0.344
Hg 0.849 0.824 0.697
Hg 0.976 0.272 0.953
Hg 0.151 0.176 0.303
Hg 0.328 0.100 0.656
Hg 0.595 0.457 0.190
Hg 0.024 0.728 0.047

***

## LaIrRu2 (GGA-PBE)

Data for a geometry-optimized LaIrRu2 structure.

ΔH_f (0 K)   12.7 kcal/mol of atoms
Polymorph energy (0 for the lowest one)   411 meV per atom

Cell lengths 9.904, 9.904, 9.904 Å; angles 16.54, 16.54, 16.54 degrees
Each line ends with the local moment (μB).
Atoms (fractional coordinates):
Ir 0.250 0.250 0.250  0.00
La 0.750 0.750 0.750  -0.11
Ru 0.989 0.989 0.989  0.01
Ru 0.511 0.511 0.511  0.01

***

## BiPd2Se2 (GGA-PBE)

Data for a geometry-optimized BiPd2Se2 structure.

Polymorph energy (0 for the lowest one)   170 meV per atom

Cell lengths 4.125, 4.125, 6.788 Å; angles 72.31, 72.31, 90.00 degrees
Atoms (fractional coordinates):
Se 0.750 0.250 0.500
Se 0.250 0.750 0.500
Bi 0.000 0.000 0.000
Pd 0.388 0.388 0.224
Pd 0.612 0.612 0.776

***

## ZrSn2Bi (GGA-PBE)

Data for a geometry-optimized ZrSn2Bi structure.

ΔH_f (0 K)   9.8 kcal/mol of atoms

Cell lengths 6.718, 6.718, 8.424 Å; angles 66.50, 66.50, 90.00 degrees
Atoms (fractional coordinates):
Bi 0.000 0.000 0.000
Bi 0.750 0.250 0.500
Zr 0.500 0.500 0.000
Zr 0.250 0.750 0.500
Sn 0.607 0.125 0.250
Sn 0.143 0.625 0.250
Sn 0.375 0.393 0.750
Sn 0.875 0.857 0.750